Below is a relaxed structure of K2Pu2CrSe6, with properties calculated at the PBE level.

- ΔE_f (raw) (meV per atom) = -1180

a = 6.9565 Å, b = 6.9565 Å, c = 8.1943 Å
α = 98.54°, β = 98.54°, γ = 119.29°
With the nearest neighbours (Å) after each atom.
Element x y z (fractional)
K1 0.1715 0.8285 0.0000  6 Se 3.31-3.40
K2 0.8285 0.1715 0.0000  6 Se 3.31-3.40
Pu1 0.3330 0.6670 0.5000  6 Se 2.85
Pu2 0.6670 0.3330 0.5000  6 Se 2.85
Cr1 0.0000 0.0000 0.5000  6 Se 2.62-2.64
Se1 0.0686 0.3776 0.6935  1 Cr 2.64, 2 Pu 2.85
Se2 0.2405 0.2405 0.3085  1 Cr 2.62, 2 Pu 2.85
Se3 0.3776 0.0686 0.6935  1 Cr 2.64, 2 Pu 2.85
Se4 0.6224 0.9314 0.3065  1 Cr 2.64, 2 Pu 2.85
Se5 0.7595 0.7595 0.6915  1 Cr 2.62, 2 Pu 2.85
Se6 0.9314 0.6224 0.3065  1 Cr 2.64, 2 Pu 2.85

Below is a relaxed structure of KRbCr3, with properties calculated at the PBE level.

- energy above the lowest structure with this stoichiometry (meV/atom) = 91
- energy of formation from the pure elements (eV per formula unit) = 9.9

a = 6.3305 Å, b = 6.3305 Å, c = 6.3305 Å
α = 90.00°, β = 90.00°, γ = 90.00°
With the nearest neighbours (Å) after each atom.
Element x y z (fractional)
K1 0.0000 0.0000 0.0000  12 Cr 4.48
Rb1 0.5000 0.5000 0.5000  6 Cr 3.17
Cr1 0.0000 0.5000 0.5000  2 Rb 3.17
Cr2 0.5000 0.0000 0.5000  2 Rb 3.17
Cr3 0.5000 0.5000 0.0000  2 Rb 3.17

Below is a relaxed structure of KRb3Cr, with properties calculated at the PBE level.

- energy above the lowest structure with this stoichiometry (meV/atom) = 0
- energy of formation from the pure elements (eV per formula unit) = 2.8

a = 7.2661 Å, b = 7.2661 Å, c = 7.2661 Å
α = 90.00°, β = 90.00°, γ = 90.00°
With the nearest neighbours (Å) after each atom.
Element x y z (fractional)
K1 0.0000 0.0000 0.0000  12 Rb 5.14
Rb1 0.0000 0.5000 0.5000  2 Cr 3.63
Rb2 0.5000 0.0000 0.5000  2 Cr 3.63
Rb3 0.5000 0.5000 0.0000  2 Cr 3.63
Cr1 0.5000 0.5000 0.5000  6 Rb 3.63

Below is a relaxed structure of KRbCr3, with properties calculated at the PBE level.

- energy above the lowest structure with this stoichiometry (meV/atom) = 0
- energy of formation from the pure elements (eV per formula unit) = 9.5

a = 6.2183 Å, b = 6.2183 Å, c = 6.2183 Å
α = 90.00°, β = 90.00°, γ = 90.00°
With the nearest neighbours (Å) after each atom.
Element x y z (fractional)
K1 0.0000 0.0000 0.0000  6 Cr 3.11
Rb1 0.5000 0.5000 0.5000  12 Cr 4.40
Cr1 0.0000 0.0000 0.5000  2 K 3.11
Cr2 0.0000 0.5000 0.0000  2 K 3.11
Cr3 0.5000 0.0000 0.0000  2 K 3.11

no.,spin magnetization (μB/f.u.),electronic total energy (eV for the cell shown)
1,12.00,-74.370
2,16.12,-21.014
3,5.67,-10.806
4,16.03,-21.468